1.
Below is a relaxed NdAlPt crystal, with properties calculated at the GGA-PBE level.

```
NdAlPt
1.0
7.184 0.000 0.000
0.000 4.501 0.000
0.000 0.000 7.841
Nd Al Pt
4 4 4
Direct
0.972 0.750 0.684
0.528 0.250 0.184
0.028 0.250 0.316
0.472 0.750 0.816
0.851 0.750 0.068
0.649 0.250 0.568
0.149 0.250 0.932
0.351 0.750 0.432
0.216 0.750 0.109
0.284 0.250 0.609
0.716 0.750 0.391
0.784 0.250 0.891
```

energy: -5.916 eV/atom

***

2.
Below is a relaxed BaCd2Pd2 crystal, with properties calculated at the GGA-PBE level.

```
BaCd2Pd2
1.0
3.214 -3.214 0.000
3.214 3.214 0.000
-3.214 0.000 6.006
Cd Ba Pd
2 1 2
Direct
0.750 0.250 0.500
0.250 0.750 0.500
0.000 0.000 0.000
0.388 0.388 0.775
0.612 0.612 0.225
```

energy: -3.295 eV/atom

***

3.
Below is a relaxed Ba2Lu2O5 crystal, with properties calculated at the GGA-PBE level.

```
Ba2Lu2O5
1.0
7.986 4.913 0.002
-6.397 -3.746 5.742
-3.115 -8.827 -0.555
Lu O Ba
4 10 4
Direct
0.989 0.989 0.000
0.095 0.777 0.818
0.959 0.277 0.182
0.989 0.489 0.500
0.907 0.831 0.802
0.503 0.114 0.889
0.997 0.253 0.766
0.028 0.331 0.424
0.907 0.604 0.576
0.028 0.104 0.198
0.997 0.731 0.244
0.487 0.231 0.234
0.487 0.753 0.756
0.225 0.614 0.111
0.475 0.388 0.871
0.517 0.888 0.413
0.475 0.103 0.587
0.517 0.603 0.129
```

excess energy over the best structure of this formula in the dataset: 0.000 eV per atom

***

4.
Below is a relaxed Y2HoGa3Cu2Ni crystal, with properties calculated at the GGA-PBE level.

```
Y2HoGa3Cu2Ni
1.0
3.946 0.000 0.000
0.000 6.027 3.491
0.000 -6.027 3.491
Ni Cu Y Ho Ga
1 2 2 1 3
Direct
0.000 0.002 0.002
0.500 0.665 0.334
0.500 0.334 0.665
0.000 0.590 0.000
0.000 0.000 0.590
0.000 0.409 0.409
0.500 0.761 0.761
0.500 0.001 0.239
0.500 0.239 0.001
```

energy: -4.938 eV/atom

***

5.
Below is a relaxed LiZr3N5 crystal, with properties calculated at the GGA-PBE level.

```
LiZr3N5
1.0
5.600 0.000 0.000
-2.800 4.850 0.000
0.000 0.000 4.421
N Zr Li
5 3 1
Direct
0.000 0.000 0.500
0.333 0.667 0.152
0.667 0.333 0.152
0.333 0.667 0.848
0.667 0.333 0.848
0.000 0.500 0.500
0.500 0.500 0.500
0.500 0.000 0.500
0.000 0.000 0.000
```

energy: -7.939 eV/atom

***

6.
Below is a relaxed DyYZnCo2 crystal, with properties calculated at the GGA-PBE level.

```
DyYZnCo2
1.0
0.576 3.014 4.334
-4.651 -0.874 2.409
4.079 -3.046 -1.510
Dy Co Zn Y
1 2 1 1
Direct
0.708 0.208 0.500
0.289 0.500 0.789
0.711 0.500 0.211
0.000 0.000 0.000
0.291 0.791 0.500
```

formation enthalpy at 0 K: -291 meV per atom

***

7.
Below is a relaxed HfZr2N3 crystal, with properties calculated at the GGA-PBE level.

```
HfZr2N3
1.0
-0.049 3.086 0.962
-2.556 -1.258 -1.529
-3.079 -2.222 6.973
Zr N Hf
2 3 1
Direct
0.667 0.333 0.166
0.333 0.667 0.834
0.667 0.333 0.658
0.000 0.000 0.000
0.333 0.667 0.342
0.000 0.000 0.500
```

energy: -10.384 eV/atom

***

8.
Below is a relaxed Na2Ta2SeS3 crystal, with properties calculated at the GGA-PBE level.

```
Na2Ta2SeS3
1.0
-1.846 -2.540 1.377
3.360 -0.421 -0.541
2.777 5.159 13.240
Ta S Se Na
2 3 1 2
Direct
0.667 0.333 0.251
0.667 0.333 0.744
0.000 0.000 0.637
0.333 0.667 0.358
0.333 0.667 0.144
0.000 0.000 0.861
0.667 0.333 0.499
0.667 0.333 0.008
```

energy: -6.388 eV/atom

***

9.
Below is a relaxed ZrTc crystal, with properties calculated at the GGA-PBE level.

```
ZrTc
1.0
7.949 -0.673 0.000
0.594 5.768 0.000
0.000 0.000 4.667
Tc Zr
6 6
Direct
0.352 0.787 0.000
0.511 0.458 0.500
0.537 0.935 0.500
0.378 0.265 0.000
0.213 0.618 0.500
0.676 0.105 0.000
0.666 0.610 0.000
0.859 0.772 0.500
0.055 0.451 0.000
0.223 0.112 0.500
0.834 0.272 0.500
0.030 0.951 0.000
```

formation enthalpy at 0 K: -15 meV per atom

***

10.
Below is a relaxed PrLuSc crystal, with properties calculated at the GGA-PBE level.

```
PrLuSc
1.0
-0.801 -5.000 1.484
0.970 -1.463 4.976
-4.001 -1.185 3.229
Lu Pr Sc
1 1 1
Direct
0.250 0.250 0.250
0.750 0.750 0.750
0.000 0.000 0.000
```

formation enthalpy at 0 K: 687 meV per atom
excess energy over the best structure of this formula in the dataset: 0.000 eV per atom

***

11.
Below is a relaxed SmHoMg crystal, with properties calculated at the GGA-PBE level.

```
SmHoMg
1.0
0.000 3.714 3.714
3.714 0.000 3.714
3.714 3.714 0.000
Mg Ho Sm
1 1 1
Direct
0.000 0.000 0.000
0.250 0.250 0.250
0.750 0.750 0.750
```

excess energy over the best structure of this formula in the dataset: 0.000 eV per atom

***

12.
Below is a relaxed TaTe3As crystal, with properties calculated at the GGA-PBE level.

```
TaTe3As
1.0
7.728 -1.698 0.000
7.728 1.698 0.000
-6.474 0.000 10.865
Ta Te As
2 6 2
Direct
0.770 0.770 0.608
0.230 0.230 0.392
0.103 0.103 0.965
0.897 0.897 0.035
0.824 0.824 0.298
0.583 0.583 0.389
0.176 0.176 0.702
0.417 0.417 0.611
0.376 0.376 0.832
0.624 0.624 0.168
```

energy: -5.211 eV/atom

***

13.
Below is a relaxed TaCoSiHg crystal, with properties calculated at the GGA-PBE level.

```
TaCoSiHg
1.0
0.000 3.152 3.152
3.152 0.000 3.152
3.152 3.152 0.000
Ta Co Hg Si
1 1 1 1
Direct
0.250 0.250 0.250
0.750 0.750 0.750
0.500 0.500 0.500
0.000 0.000 0.000
```

excess energy over the best structure of this formula in the dataset: 0.000 eV per atom

***

14.
Below is a relaxed Pr3Mg3AgIrPt crystal, with properties calculated at the GGA-PBE level.

```
Pr3Mg3AgIrPt
1.0
7.691 0.000 0.000
-3.845 6.660 0.000
0.000 0.000 4.137
Pr Ag Pt Mg Ir
3 1 1 3 1
Direct
0.426 0.418 0.000
0.992 0.574 0.000
0.582 0.008 0.000
0.000 0.000 0.000
0.333 0.667 0.500
0.751 0.750 0.500
0.250 0.002 0.500
0.998 0.249 0.500
0.667 0.333 0.500
```

energy: -4.664 eV/atom

***

15.
Below is a relaxed CdCoPt crystal, with properties calculated at the GGA-PBE level.

```
CdCoPt
1.0
0.000 2.971 2.971
2.971 0.000 2.971
2.971 2.971 0.000
Co Cd Pt
1 1 1
Direct
0.000 0.000 0.000
0.250 0.250 0.250
0.750 0.750 0.750
```

formation enthalpy at 0 K: 241 meV per atom
excess energy over the best structure of this formula in the dataset: 0.000 eV per atom

***

16.
Below is a relaxed Mo crystal, with properties calculated at the GGA-PBE level.

```
Mo
1.0
-2.206 -3.809 0.000
-2.206 3.809 0.000
0.000 0.000 -4.418
Mo
4
Direct
0.161 0.839 0.998
0.839 0.161 0.002
0.661 0.339 0.502
0.339 0.661 0.498
```

formation enthalpy at 0 K: 937 meV per atom
excess energy over the best structure of this formula in the dataset: 0.937 eV per atom

***

17.
Below is a relaxed HfUNb crystal, with properties calculated at the GGA-PBE level.

```
HfUNb
1.0
0.000 3.283 3.283
3.283 0.000 3.283
3.283 3.283 0.000
Nb Hf U
1 1 1
Direct
0.750 0.750 0.750
0.250 0.250 0.250
0.000 0.000 0.000
```

formation enthalpy at 0 K: 1251 meV per atom
excess energy over the best structure of this formula in the dataset: 0.478 eV per atom

***

18.
Below is a relaxed Na2Mg2Zn2PdPt crystal, with properties calculated at the GGA-PBE level.

```
Na2Mg2Zn2PdPt
1.0
4.598 0.000 0.000
0.000 4.598 0.000
0.000 0.000 6.498
Pd Zn Mg Na Pt
1 2 2 2 1
Direct
0.000 0.000 0.000
0.000 0.500 0.749
0.500 0.000 0.251
0.500 0.000 0.749
0.000 0.500 0.251
0.000 0.000 0.500
0.500 0.500 0.000
0.500 0.500 0.500
```

energy: -2.730 eV/atom

***

19.
Below is a relaxed MgCoHgTe3 crystal, with properties calculated at the GGA-PBE level.

```
MgCoHgTe3
1.0
7.420 -1.864 0.000
7.420 1.864 0.000
0.000 0.000 11.210
Te Hg Mg Co
6 2 2 2
Direct
0.004 0.004 0.250
0.617 0.617 0.498
0.617 0.617 0.002
0.383 0.383 0.998
0.383 0.383 0.502
0.996 0.996 0.750
0.312 0.312 0.250
0.688 0.688 0.750
0.661 0.661 0.250
0.339 0.339 0.750
0.000 0.000 0.500
0.000 0.000 0.000
```

excess energy over the best structure of this formula in the dataset: 0.000 eV per atom

***

20.
Below is a relaxed TbAuSO crystal, with properties calculated at the GGA-PBE level.

```
TbAuSO
1.0
-0.585 1.565 -9.107
-5.181 -1.631 0.053
-1.642 5.249 1.007
S O Au Tb
4 4 4 4
Direct
0.284 0.978 0.250
0.716 0.022 0.750
0.716 0.478 0.250
0.284 0.522 0.750
0.004 0.750 0.500
0.004 0.750 0.000
0.996 0.250 0.500
0.996 0.250 0.000
0.443 0.250 0.500
0.443 0.250 0.000
0.557 0.750 0.000
0.557 0.750 0.500
0.123 0.007 0.750
0.123 0.493 0.250
0.877 0.993 0.250
0.877 0.507 0.750
```

excess energy over the best structure of this formula in the dataset: 0.141 eV per atom